Entry from Alexandria: a relaxed SrNiP2Se8 crystal (PBE).

Calculated values
DOS at the Fermi energy = 3.665 states/eV/f.u.
raw total energy = -4.20 eV/atom

abc: 6.2187 6.2187 8.8205
angles: 90.00 90.00 120.00
Closest atoms and distances in Å follow each position.
Atoms (fractional coordinates):
Se  0.6667  0.3333  0.0199  1 P 2.20
Se  0.7087  0.6983  0.6777  1 P 2.29, 1 Ni 2.42
Se  0.3333  0.6667  0.9801  1 P 2.20
Se  0.2913  0.3017  0.3223  1 P 2.29, 1 Ni 2.42
Se  0.9895  0.2913  0.6777  1 P 2.29, 1 Ni 2.42
Se  0.6983  0.9895  0.3223  1 P 2.29, 1 Ni 2.42
Se  0.0105  0.7087  0.3223  1 P 2.29, 1 Ni 2.42
Se  0.3017  0.0105  0.6777  1 P 2.29, 1 Ni 2.42
P  0.3333  0.6667  0.7311  4 Se 2.20-2.29
P  0.6667  0.3333  0.2689  4 Se 2.20-2.29
Ni  0.0000  0.0000  0.5000  6 Se 2.42
Sr  0.0000  0.0000  0.0000  12 Se 3.39-3.59